Record 1
KHg3Bi2 | PBE | optimized geometry

Geometry as extended XYZ:
```
12
Lattice="5.8546 -5.1850 0.0000 5.8546 5.1850 0.0000 0.0000 0.0000 6.7168" Properties=species:S:1:pos:R:3 pbc="T T T"
K 5.8546 3.0706 5.0376
K 5.8546 -3.0706 1.6792
Hg 4.2522 3.0709 1.6792
Hg 7.4570 3.0709 1.6792
Hg 5.8546 0.5543 1.6792
Hg 5.8546 -0.5543 5.0376
Hg 4.2522 -3.0709 5.0376
Hg 7.4570 -3.0709 5.0376
Bi 3.2040 0.0000 0.0000
Bi 3.2040 0.0000 3.3584
Bi 8.5052 0.0000 0.0000
Bi 8.5052 0.0000 3.3584
```

Values from the calculation:
The total energy is -10.2 eV/f.u. The density of states at the Fermi level is 4.90 states/eV/cell. The value obtained for the total magnetization is 0.000 μB/f.u.



Record 2
Ca3CuTc | PBE | optimized geometry

Geometry as extended XYZ:
```
5
Lattice="5.3842 0.0000 0.0000 0.0000 5.3842 0.0000 0.0000 0.0000 5.3842" Properties=species:S:1:pos:R:3 pbc="T T T"
Ca 0.0000 0.0000 2.6921
Ca 0.0000 2.6921 0.0000
Ca 2.6921 0.0000 0.0000
Cu 0.0000 0.0000 0.0000
Tc 2.6921 2.6921 2.6921
```

Values from the calculation:
The density of states at the Fermi level is 7.06 states/eV/cell. As for the polymorph energy (0 for the lowest one): 0.263 eV per formula unit. The value obtained for the total magnetization is 2.996 μB/f.u.



Record 3
TaTlCl2 | PBE | optimized geometry

Geometry as extended XYZ:
```
4
Lattice="0.0000 3.5966 3.5966 3.5966 0.0000 3.5966 3.5966 3.5966 0.0000" Properties=species:S:1:pos:R:3 pbc="T T T"
Ta 0.0000 0.0000 0.0000
Tl 5.3949 5.3949 5.3949
Cl 1.7983 1.7983 1.7983
Cl 3.5966 3.5966 3.5966
```

Values from the calculation:
The formation energy from raw total energies comes out at 0.669 eV/atom. The density of states at the Fermi level is 3.88 states/eV/cell. As for the polymorph energy (0 for the lowest one): 4.721 eV per formula unit. The value obtained for the total magnetization is 3.805 μB/f.u.



Record 4
La2PmZn | PBE | optimized geometry

Geometry as extended XYZ:
```
4
Lattice="0.0000 3.9373 3.9373 3.9373 0.0000 3.9373 3.9373 3.9373 0.0000" Properties=species:S:1:pos:R:3 pbc="T T T"
La 1.9687 1.9687 1.9687
La 5.9060 5.9060 5.9060
Pm 0.0000 0.0000 0.0000
Zn 3.9373 3.9373 3.9373
```

Values from the calculation:
The density of states at the Fermi level is 6.36 states/eV/cell. As for the polymorph energy (0 for the lowest one): 0.703 eV per formula unit. The value obtained for the total magnetization is 0.012 μB/f.u.



> density of states at the Fermi level of number 3 (TaTlCl2)?

3.88 states/eV/cell